[1]
# Nd3Np2Se8

A relaxed structure of Nd3Np2Se8 (PBE, Alexandria via LeMat-Bulk).

Computed properties:
The value obtained for the total energy is -86.656 eV/cell. The raw formation energy is -1.430 eV per atom.

Geometry as POSCAR:
```
Nd3Np2Se8
1.0
7.4471 -4.1916 0.0000
7.4471 4.1916 0.0000
-2.4155 0.0000 6.6626
Nd Np Se
3 2 8
Direct
0.0000 0.0000 0.0000
0.2616 0.7384 0.5000
0.7384 0.2616 0.5000
0.2600 0.2600 0.8379
0.7400 0.7400 0.1621
0.1032 0.6370 0.0816
0.1214 0.1214 0.4318
0.3630 0.8968 0.9184
0.3909 0.3909 0.6306
0.6091 0.6091 0.3694
0.6370 0.1032 0.0816
0.8786 0.8786 0.5682
0.8968 0.3630 0.9184
```

---

[2]
# K3PmOs2O9

A relaxed structure of K3PmOs2O9 (PBE, Alexandria via LeMat-Bulk).

Computed properties:
The value obtained for the total energy is -100.544 eV/cell. The raw formation energy is -1.694 eV per atom.

Geometry as POSCAR:
```
K3PmOs2O9
1.0
5.7857 0.0000 0.0000
-2.8928 5.0105 0.0000
0.0000 0.0000 7.2259
K Pm Os O
3 1 2 9
Direct
0.0000 0.0000 0.0000
0.3333 0.6667 0.6683
0.6667 0.3333 0.3317
0.0000 0.0000 0.5000
0.3333 0.6667 0.1495
0.6667 0.3333 0.8505
0.0000 0.5000 0.0000
0.1805 0.3610 0.3031
0.1805 0.8195 0.3031
0.3610 0.1805 0.6969
0.5000 0.0000 0.0000
0.5000 0.5000 0.0000
0.6390 0.8195 0.3031
0.8195 0.1805 0.6969
0.8195 0.6390 0.6969
```

---

[3]
# PdIN2F

A relaxed structure of PdIN2F (PBE, Alexandria via LeMat-Bulk).

Computed properties:
The value obtained for the total energy is -15.364 eV/cell. The raw formation energy is 1.980 eV per atom. The offset from the most stable computed form comes out at 4.29 eV/f.u.

Geometry as POSCAR:
```
PdIN2F
1.0
3.8961 0.0000 0.0000
0.0000 3.8961 0.0000
0.0000 0.0000 6.7676
Pd I N F
1 1 2 1
Direct
0.0000 0.0000 0.0000
0.5000 0.5000 0.0000
0.0000 0.5000 0.5000
0.5000 0.0000 0.5000
0.5000 0.5000 0.5000
```